<w>
Entry from the Alexandria database: a geometry-optimized Sb2PtW structure (GGA-PBE).

The calculation puts the volume at 156 Å³ per cell.

The space group is I-4m2 (No. 119) and the conventional cell measures 4.036, 4.036 and 9.595 Å, with angles of 90.00, 90.00 and 90.00 degrees. The distinct sites, in fractional coordinates, are Sb at (0.000, 0.000, 0.000), Sb at (0.000, 0.500, 0.250), Pt at (0.000, 0.000, 0.500) and W at (0.000, 0.500, 0.750).

=====

<x>
Entry from the Alexandria database: a geometry-optimized Sb2PtW structure (GGA-PBE).

The calculation puts the volume at 265 Å³ per cell.

The space group is R3m (No. 160, hexagonal axes) and the conventional cell measures 3.0968, 3.0968 and 31.8973 Å, with angles of 90.00, 90.00 and 120.00 degrees. The distinct sites, in fractional coordinates, are Sb at (0.0000, 0.0000, 0.0000), Sb at (0.0000, 0.0000, 0.2089), Pt at (0.0000, 0.0000, 0.4703) and W at (0.0000, 0.0000, 0.7387).

=====

<y>
Entry from the Alexandria database: a geometry-optimized Sb2PtW structure (GGA-PBE).

The calculation puts the volume at 156 Å³ per cell.

The space group is C2/m (No. 12) and the conventional cell measures 8.774, 3.334 and 5.446 Å, with angles of 90.00, 101.56 and 90.00 degrees. The distinct sites, in fractional coordinates, are Sb at (0.242, 0.000, 0.237), Pt at (0.000, 0.000, 0.500) and W at (0.000, 0.500, 0.000).

=====

We find <x> to be the most stable, with the next structure 87 meV/atom higher.

=====

<w>
Entry from the Alexandria database: a geometry-optimized Sb2PtW structure (GGA-PBE).

The calculation puts the volume at 76 Å³ per cell.

The space group is P4/mmm (No. 123) and the conventional cell measures 3.452, 3.452 and 6.366 Å, with angles of 90.00, 90.00 and 90.00 degrees. The distinct sites, in fractional coordinates, are Sb at (0.000, 0.000, 0.245), Pt at (0.500, 0.500, 0.500) and W at (0.500, 0.500, 0.000).

=====

<x>
Entry from the Alexandria database: a geometry-optimized Sb2PtW structure (GGA-PBE).

The calculation puts the volume at 320 Å³ per cell.

The space group is F-43m (No. 216) and the conventional cell measures 6.840, 6.840 and 6.840 Å, with angles of 90.00, 90.00 and 90.00 degrees. The distinct sites, in fractional coordinates, are Sb at (0.000, 0.000, 0.000), Sb at (0.250, 0.250, 0.250), Pt at (0.250, 0.250, 0.750) and W at (0.000, 0.000, 0.500).

=====

<y>
Entry from the Alexandria database: a geometry-optimized Sb2PtW structure (GGA-PBE).

The calculation puts the volume at 160 Å³ per cell.

The space group is Amm2 (No. 38) and the conventional cell measures 4.152, 3.646 and 10.600 Å, with angles of 90.00, 90.00 and 90.00 degrees. The distinct sites, in fractional coordinates, are Sb at (0.000, 0.000, 0.000), Sb at (0.500, 0.000, 0.296), Pt at (0.000, 0.000, 0.746) and W at (0.500, 0.000, 0.579).

=====

<z>
Entry from the Alexandria database: a geometry-optimized Sb2PtW structure (GGA-PBE).

The calculation puts the volume at 79 Å³ per cell.

The space group is P2/m (No. 10) and the conventional cell measures 2.955, 4.873 and 5.504 Å, with angles of 90.00, 90.62 and 90.00 degrees. The distinct sites, in fractional coordinates, are Sb at (0.230, 0.000, 0.254), Pt at (0.500, 0.500, 0.500) and W at (0.000, 0.500, 0.000).

=====

We find <y> to be the most stable, with the next structure 163 meV/atom higher.

=====

<w>
Entry from the Alexandria database: a geometry-optimized SbPtW structure (GGA-PBE).

The calculation puts the volume at 55 Å³ per cell.

The space group is P3m1 (No. 156) and the conventional cell measures 3.0712, 3.0712 and 6.7124 Å, with angles of 90.00, 90.00 and 120.00 degrees. The distinct sites, in fractional coordinates, are Sb at (0.0000, 0.0000, 0.0000), Pt at (0.3333, 0.6667, 0.6487) and W at (0.6667, 0.3333, 0.3439).

=====

<x>
Entry from the Alexandria database: a geometry-optimized SbPtW structure (GGA-PBE).

The calculation puts the volume at 110 Å³ per cell.

The space group is Imm2 (No. 44) and the conventional cell measures 2.914, 4.061 and 9.334 Å, with angles of 90.00, 90.00 and 90.00 degrees. The distinct sites, in fractional coordinates, are Sb at (0.000, 0.000, 0.000), Pt at (0.000, 0.000, 0.314) and W at (0.000, 0.000, 0.690).

=====

<y>
Entry from the Alexandria database: a geometry-optimized SbPtW structure (GGA-PBE).

The calculation puts the volume at 251 Å³ per cell.

The space group is F-43m (No. 216) and the conventional cell measures 6.310, 6.310 and 6.310 Å, with angles of 90.00, 90.00 and 90.00 degrees. The distinct sites, in fractional coordinates, are Sb at (0.000, 0.000, 0.000), Pt at (0.000, 0.000, 0.500) and W at (0.250, 0.250, 0.250).

=====

<z>
Entry from the Alexandria database: a geometry-optimized SbPtW structure (GGA-PBE).

The calculation puts the volume at 115 Å³ per cell.

The space group is I4mm (No. 107) and the conventional cell measures 2.985, 2.985 and 12.944 Å, with angles of 90.00, 90.00 and 90.00 degrees. The distinct sites, in fractional coordinates, are Sb at (0.000, 0.000, 0.000), Pt at (0.000, 0.000, 0.295) and W at (0.000, 0.000, 0.667).

=====

We find <z> to be the most stable, with the next structure 33 meV/atom higher.